No. 1
Entry from the Alexandria database: crystalline Nd5Y3Rh2 at its relaxed geometry (PBE-GGA).

Values from the calculation:
DFT total energy   -6.04 eV per atom
Total moment   0.00 μB per formula unit

```
data_Nd5Y3Rh2
_chemical_formula_sum 'Nd20 Y12 Rh8'
_space_group_name_H-M_alt 'I b a m'
_space_group_IT_number 72
_space_group_name_Hall '-I 2 2c'
_cell_length_a 10.594
_cell_length_b 15.302
_cell_length_c 7.912
_cell_angle_alpha 90.00
_cell_angle_beta 90.00
_cell_angle_gamma 90.00
loop_
_atom_site_label
_atom_site_type_symbol
_atom_site_fract_x
_atom_site_fract_y
_atom_site_fract_z
Nd1 Nd 0.000 0.000 0.250
Nd2 Nd 0.000 0.241 0.250
Nd3 Nd 0.238 0.122 0.000
Y1 Y 0.000 0.500 0.250
Y2 Y 0.241 0.122 0.500
Rh1 Rh 0.001 0.370 0.000
```

No. 2
Entry from the Alexandria database: crystalline NdYRh at its relaxed geometry (PBE-GGA).

Values from the calculation:
DFT total energy   -6.69 eV per atom
Distance to the lowest polymorph of the same formula   21.2 meV per atom
Total moment   0.00 μB per formula unit

```
data_NdYRh
_chemical_formula_sum 'Nd4 Y4 Rh4'
_space_group_name_H-M_alt 'F -4 3 m'
_space_group_IT_number 216
_space_group_name_Hall 'F -4 2 3'
_cell_length_a 6.922
_cell_length_b 6.922
_cell_length_c 6.922
_cell_angle_alpha 90.00
_cell_angle_beta 90.00
_cell_angle_gamma 90.00
loop_
_atom_site_label
_atom_site_type_symbol
_atom_site_fract_x
_atom_site_fract_y
_atom_site_fract_z
Nd1 Nd 0.000 0.000 0.000
Y1 Y 0.000 0.000 0.500
Rh1 Rh 0.250 0.250 0.750
```

No. 3
Entry from the Alexandria database: crystalline NdYRh at its relaxed geometry (PBE-GGA).

Values from the calculation:
DFT total energy   -6.71 eV per atom
Distance to the lowest polymorph of the same formula   0.0 meV per atom
Total moment   0.00 μB per formula unit

```
data_NdYRh
_chemical_formula_sum 'Nd4 Y4 Rh4'
_space_group_name_H-M_alt 'C 1 2/m 1'
_space_group_IT_number 12
_cell_length_a 11.371
_cell_length_b 4.244
_cell_length_c 7.369
_cell_angle_alpha 90.00
_cell_angle_beta 102.42
_cell_angle_gamma 90.00
loop_
_space_group_symop_operation_xyz
'x,y,z'
'-x,-y,-z'
'-x,y,-z'
'x,-y,z'
'x+1/2,y+1/2,z'
'-x+1/2,-y+1/2,-z'
'-x+1/2,y+1/2,-z'
'x+1/2,-y+1/2,z'
loop_
_atom_site_label
_atom_site_type_symbol
_atom_site_fract_x
_atom_site_fract_y
_atom_site_fract_z
Nd1 Nd 0.123 0.000 0.365
Y1 Y 0.128 0.500 0.886
Rh1 Rh 0.241 0.000 0.748
```

No. 4
Entry from the Alexandria database: crystalline NdY2Rh9 at its relaxed geometry (PBE-GGA).

Values from the calculation:
DFT total energy   -7.54 eV per atom
Total moment   0.00 μB per formula unit

```
data_NdY2Rh9
_chemical_formula_sum 'Nd3 Y6 Rh27'
_space_group_name_H-M_alt 'R -3 m'
_space_group_IT_number 166
_space_group_name_Hall '-R 3 2"'
_cell_length_a 5.2937
_cell_length_b 5.2937
_cell_length_c 26.3114
_cell_angle_alpha 90.00
_cell_angle_beta 90.00
_cell_angle_gamma 120.00
loop_
_atom_site_label
_atom_site_type_symbol
_atom_site_fract_x
_atom_site_fract_y
_atom_site_fract_z
Nd1 Nd 0.0000 0.0000 0.0000
Y1 Y 0.0000 0.0000 0.1393
Rh1 Rh 0.0000 0.0000 0.3330
Rh2 Rh 0.0000 0.0000 0.5000
Rh3 Rh 0.9998 0.4999 0.0829
```

No. 5
Entry from the Alexandria database: crystalline Nd2Y2Rh3 at its relaxed geometry (PBE-GGA).

Values from the calculation:
DFT total energy   -6.96 eV per atom
Distance to the lowest polymorph of the same formula   83.8 meV per atom
Total moment   0.00 μB per formula unit

```
data_Nd2Y2Rh3
_chemical_formula_sum 'Nd2 Y2 Rh3'
_space_group_name_H-M_alt 'P -1'
_space_group_IT_number 2
_cell_length_a 4.429
_cell_length_b 6.038
_cell_length_c 7.502
_cell_angle_alpha 99.32
_cell_angle_beta 90.08
_cell_angle_gamma 111.51
loop_
_space_group_symop_operation_xyz
'x,y,z'
'-x,-y,-z'
loop_
_atom_site_label
_atom_site_type_symbol
_atom_site_fract_x
_atom_site_fract_y
_atom_site_fract_z
Nd1 Nd 0.133 0.265 0.356
Y1 Y 0.363 0.725 0.073
Rh1 Rh 0.000 0.000 0.000
Rh2 Rh 0.194 0.391 0.733
```

No. 6
Entry from the Alexandria database: crystalline Nd2YRh2 at its relaxed geometry (PBE-GGA).

Values from the calculation:
DFT total energy   -6.68 eV per atom
Distance to the lowest polymorph of the same formula   69.8 meV per atom
Total moment   0.00 μB per formula unit

```
data_Nd2YRh2
_chemical_formula_sum 'Nd6 Y3 Rh6'
_space_group_name_H-M_alt 'R -3 m'
_space_group_IT_number 166
_space_group_name_Hall '-R 3 2"'
_cell_length_a 4.7612
_cell_length_b 4.7612
_cell_length_c 18.7409
_cell_angle_alpha 90.00
_cell_angle_beta 90.00
_cell_angle_gamma 120.00
loop_
_atom_site_label
_atom_site_type_symbol
_atom_site_fract_x
_atom_site_fract_y
_atom_site_fract_z
Nd1 Nd 0.0000 0.0000 0.2206
Y1 Y 0.0000 0.0000 0.0000
Rh1 Rh 0.0000 0.0000 0.3852
```

No. 7
Entry from the Alexandria database: crystalline NdY2Rh3 at its relaxed geometry (PBE-GGA).

Values from the calculation:
DFT total energy   -7.39 eV per atom
Distance to the lowest polymorph of the same formula   0.0 meV per atom
Total moment   0.00 μB per formula unit

```
data_NdY2Rh3
_chemical_formula_sum 'Nd1 Y2 Rh3'
_space_group_name_H-M_alt 'P -3 m 1'
_space_group_IT_number 164
_space_group_name_Hall '-P 3 2"'
_cell_length_a 4.9123
_cell_length_b 4.9123
_cell_length_c 6.0136
_cell_angle_alpha 90.00
_cell_angle_beta 90.00
_cell_angle_gamma 120.00
loop_
_atom_site_label
_atom_site_type_symbol
_atom_site_fract_x
_atom_site_fract_y
_atom_site_fract_z
Nd1 Nd 0.0000 0.0000 0.0000
Y1 Y 0.3333 0.6667 0.6637
Rh1 Rh 0.0000 0.0000 0.5000
Rh2 Rh 0.3333 0.6667 0.1734
```

No. 8
Entry from the Alexandria database: crystalline Nd3YRh3 at its relaxed geometry (PBE-GGA).

Values from the calculation:
DFT total energy   -6.69 eV per atom
Total moment   0.00 μB per formula unit

```
data_Nd3YRh3
_chemical_formula_sum 'Nd12 Y4 Rh12'
_space_group_name_H-M_alt 'C 1 2/m 1'
_space_group_IT_number 12
_cell_length_a 9.331
_cell_length_b 10.516
_cell_length_c 7.150
_cell_angle_alpha 90.00
_cell_angle_beta 90.68
_cell_angle_gamma 90.00
loop_
_space_group_symop_operation_xyz
'x,y,z'
'-x,-y,-z'
'-x,y,-z'
'x,-y,z'
'x+1/2,y+1/2,z'
'-x+1/2,-y+1/2,-z'
'-x+1/2,y+1/2,-z'
'x+1/2,-y+1/2,z'
loop_
_atom_site_label
_atom_site_type_symbol
_atom_site_fract_x
_atom_site_fract_y
_atom_site_fract_z
Nd1 Nd 0.000 0.180 0.000
Nd2 Nd 0.000 0.250 0.500
Nd3 Nd 0.169 0.500 0.874
Y1 Y 0.244 0.000 0.625
Rh1 Rh 0.062 0.000 0.303
Rh2 Rh 0.246 0.253 0.228
```

No. 9
Entry from the Alexandria database: crystalline Nd2YRh3 at its relaxed geometry (PBE-GGA).

Values from the calculation:
DFT total energy   -7.04 eV per atom
Distance to the lowest polymorph of the same formula   0.0 meV per atom
Total moment   0.00 μB per formula unit

```
data_Nd2YRh3
_chemical_formula_sum 'Nd8 Y4 Rh12'
_space_group_name_H-M_alt 'C m m m'
_space_group_IT_number 65
_space_group_name_Hall '-C 2 2'
_cell_length_a 4.902
_cell_length_b 14.749
_cell_length_c 7.170
_cell_angle_alpha 90.00
_cell_angle_beta 90.00
_cell_angle_gamma 90.00
loop_
_atom_site_label
_atom_site_type_symbol
_atom_site_fract_x
_atom_site_fract_y
_atom_site_fract_z
Nd1 Nd 0.000 0.000 0.000
Nd2 Nd 0.000 0.000 0.500
Nd3 Nd 0.000 0.333 0.000
Y1 Y 0.000 0.332 0.500
Rh1 Rh 0.000 0.168 0.258
Rh2 Rh 0.000 0.500 0.255
```

No. 10
Entry from the Alexandria database: crystalline NdYRh at its relaxed geometry (PBE-GGA).

Values from the calculation:
DFT total energy   -6.70 eV per atom
Distance to the lowest polymorph of the same formula   10.7 meV per atom
Total moment   0.00 μB per formula unit

```
data_NdYRh
_chemical_formula_sum 'Nd2 Y2 Rh2'
_space_group_name_H-M_alt 'P 1 21/m 1'
_space_group_IT_number 11
_cell_length_a 5.807
_cell_length_b 4.541
_cell_length_c 6.630
_cell_angle_alpha 90.00
_cell_angle_beta 106.55
_cell_angle_gamma 90.00
loop_
_space_group_symop_operation_xyz
'x,y,z'
'-x,-y,-z'
'-x,y+1/2,-z'
'x,-y+1/2,z'
loop_
_atom_site_label
_atom_site_type_symbol
_atom_site_fract_x
_atom_site_fract_y
_atom_site_fract_z
Nd1 Nd 0.072 0.250 0.288
Y1 Y 0.476 0.250 0.799
Rh1 Rh 0.341 0.750 0.554
```

No. 11
Entry from the Alexandria database: crystalline NdY4Rh at its relaxed geometry (PBE-GGA).

Values from the calculation:
DFT total energy   -6.52 eV per atom
Total moment   0.00 μB per formula unit

```
data_NdY4Rh
_chemical_formula_sum 'Nd4 Y16 Rh4'
_space_group_name_H-M_alt 'C m c m'
_space_group_IT_number 63
_space_group_name_Hall '-C 2c 2'
_cell_length_a 5.604
_cell_length_b 18.528
_cell_length_c 7.529
_cell_angle_alpha 90.00
_cell_angle_beta 90.00
_cell_angle_gamma 90.00
loop_
_atom_site_label
_atom_site_type_symbol
_atom_site_fract_x
_atom_site_fract_y
_atom_site_fract_z
Nd1 Nd 0.000 0.116 0.250
Y1 Y 0.000 0.117 0.750
Y2 Y 0.000 0.297 0.503
Y3 Y 0.000 0.500 0.000
Rh1 Rh 0.000 0.399 0.250
```

No. 12
Entry from the Alexandria database: crystalline Nd2YRh at its relaxed geometry (PBE-GGA).

Values from the calculation:
DFT total energy   -5.91 eV per atom
Distance to the lowest polymorph of the same formula   371.7 meV per atom
Total moment   0.36 μB per formula unit

```
data_Nd2YRh
_chemical_formula_sum 'Nd6 Y3 Rh3'
_space_group_name_H-M_alt 'R -3 m'
_space_group_IT_number 166
_space_group_name_Hall '-R 3 2"'
_cell_length_a 3.7285
_cell_length_b 3.7285
_cell_length_c 32.0679
_cell_angle_alpha 90.00
_cell_angle_beta 90.00
_cell_angle_gamma 120.00
loop_
_atom_site_label
_atom_site_type_symbol
_atom_site_fract_x
_atom_site_fract_y
_atom_site_fract_z
Nd1 Nd 0.0000 0.0000 0.1098
Y1 Y 0.0000 0.0000 0.0000
Rh1 Rh 0.0000 0.0000 0.5000
```

| no. | N(E_F) (states/eV/atom) |
| --- | --- |
| 1 | 1.28 |
| 2 | 1.11 |
| 3 | 0.94 |
| 4 | 1.12 |
| 5 | 0.48 |
| 6 | 0.50 |
| 7 | 0.78 |
| 8 | 0.67 |
| 9 | 0.82 |
| 10 | 1.05 |
| 11 | 1.20 |
| 12 | 1.42 |